# Na2YBO4 (PBE, optimized geometry)
data_Na2YBO4
_space_group_name_H-M_alt 'F d d d'
_space_group_IT_number 70
_cell_length_a 5.1117
_cell_length_b 10.7849
_cell_length_c 23.6132
_cell_angle_alpha 90.00
_cell_angle_beta 90.00
_cell_angle_gamma 90.00
loop_
_space_group_symop_operation_xyz
'x,y,z'
'-x,-y,-z'
'-x+1/4,-y+1/4,z'
'x+1/4,y+1/4,-z'
'x,-y+1/4,-z+1/4'
'-x,y+1/4,z+1/4'
'-x+1/4,y,-z+1/4'
'x+1/4,-y,z+1/4'
'x,y+1/2,z+1/2'
'-x,-y+1/2,-z+1/2'
'-x+1/4,-y+3/4,z+1/2'
'x+1/4,y+3/4,-z+1/2'
'x,-y+3/4,-z+3/4'
'-x,y+3/4,z+3/4'
'-x+1/4,y+1/2,-z+3/4'
'x+1/4,-y+1/2,z+3/4'
'x+1/2,y,z+1/2'
'-x+1/2,-y,-z+1/2'
'-x+3/4,-y+1/4,z+1/2'
'x+3/4,y+1/4,-z+1/2'
'x+1/2,-y+1/4,-z+3/4'
'-x+1/2,y+1/4,z+3/4'
'-x+3/4,y,-z+3/4'
'x+3/4,-y,z+3/4'
'x+1/2,y+1/2,z'
'-x+1/2,-y+1/2,-z'
'-x+3/4,-y+3/4,z'
'x+3/4,y+3/4,-z'
'x+1/2,-y+3/4,-z+1/4'
'-x+1/2,y+3/4,z+1/4'
'-x+3/4,y+1/2,-z+1/4'
'x+3/4,-y+1/2,z+1/4'
loop_
_atom_site_label
_atom_site_type_symbol
_atom_site_fract_x
_atom_site_fract_y
_atom_site_fract_z
Na1 Na 0.1250 0.1250 0.3329
Y1 Y 0.1250 0.1250 0.1250
B1 B 0.1250 0.1250 0.6250
O1 O 0.0433 0.2859 0.8399
# Raw formation energy   -1899 meV per atom
# Density of states at the Fermi level   0.00 states/eV/cell

# Na2ZnBO4 (PBE, optimized geometry)
data_Na2ZnBO4
_space_group_name_H-M_alt 'I -4 2 m'
_space_group_IT_number 121
_space_group_name_Hall 'I -4 2'
_cell_length_a 5.8134
_cell_length_b 5.8134
_cell_length_c 5.1132
_cell_angle_alpha 90.00
_cell_angle_beta 90.00
_cell_angle_gamma 90.00
loop_
_atom_site_label
_atom_site_type_symbol
_atom_site_fract_x
_atom_site_fract_y
_atom_site_fract_z
Na1 Na 0.0000 0.5000 0.0000
Zn1 Zn 0.0000 0.0000 0.0000
B1 B 0.0000 0.0000 0.5000
O1 O 0.1416 0.1416 0.3151
# Raw formation energy   -1537 meV per atom
# Density of states at the Fermi level   10.34 states/eV/cell

Q: What is the formula in the first record?
A: Na2YBO4

Q: Which value of density of states at the Fermi level does entry 1 give?
A: 0.00 states/eV/cell

Q: Number 1 is which compound?
A: Na2YBO4

Q: Among the records above, which one has the lowest raw formation energy?
A: Na2YBO4